Entry from Alexandria: a relaxed RbAgO2 crystal (GGA-PBEsol).

Summary:
Formation energy from raw total energies: -687 meV/atom
Uncorrected energy: -4.396 eV per atom
Spin magnetization: 0.00 μB/atom

a b c (Å): 6.8947 9.1188 5.7890
angles (deg): 90.00 108.57 90.00
Closest atoms and distances in Å follow each position.
Space group C2/c (No. 15)
Symmetry-distinct sites (fractional):
Rb 0.0000 0.1466 0.2500 x4  6 O 2.81-3.08
Ag 0.0000 0.5000 0.0000 x4  4 O 1.99-2.00
O 0.1995 0.4528 0.3257 x8  2 Ag 1.99-2.00

Entry from Alexandria: a relaxed LaTl3 crystal (GGA-PBEsol).

Summary:
Formation enthalpy at 0 K: -1.32 eV/f.u.
Uncorrected energy: -3.639 eV per atom
Spin magnetization: 0.00 μB/atom

a b c (Å): 6.7368 16.1122 6.1212
angles (deg): 90.00 90.00 90.00
Closest atoms and distances in Å follow each position.
Space group Pmmn (No. 59, origin choice 2)
Symmetry-distinct sites (fractional):
La 0.2500 0.0948 0.1588 x4  12 Tl 3.31-3.55
La 0.2500 0.7500 0.5502 x2  12 Tl 3.30-3.50
Tl 0.0077 0.5824 0.3369 x8  8 Tl 3.23-3.51, 4 La 3.41-3.55
Tl 0.0191 0.7500 0.0376 x4  6 Tl 3.11-3.47, 3 La 3.31-3.36
Tl 0.2500 0.2500 0.5290 x2  6 Tl 3.21-3.31, 4 La 3.37-3.40
Tl 0.2500 0.5745 0.8294 x4  8 Tl 3.23-3.51, 4 La 3.30-3.39

Entry from Alexandria: a relaxed AlZn2Cl crystal (GGA-PBEsol).

Summary:
Formation energy from raw total energies: -43 meV/atom
Uncorrected energy: -2.359 eV per atom
Offset from the most stable computed form: 87 meV per atom
Spin magnetization: 0.00 μB/atom

a b c (Å): 2.9745 5.3831 9.3996
angles (deg): 90.00 90.00 90.00
Closest atoms and distances in Å follow each position.
Space group Cmm2 (No. 35)
Symmetry-distinct sites (fractional):
Al 0.0000 0.0000 0.0000 x2  2 Cl 2.34, 2 Zn 2.61
Zn 0.0000 0.0000 0.5462 x2  2 Zn 2.59
Zn 0.0000 0.5000 0.7723 x2  2 Zn 2.59, 2 Al 2.61
Cl 0.0000 0.5000 0.1916 x2  2 Al 2.34

Entry from Alexandria: a relaxed Hg2Te2O7 crystal (GGA-PBEsol).

Summary:
Formation energy from raw total energies: -763 meV/atom
Uncorrected energy: -4.848 eV per atom
Offset from the most stable computed form: 0 meV per atom
Spin magnetization: 0.00 μB/atom

a b c (Å): 7.4660 23.8349 13.6222
angles (deg): 90.00 90.00 90.00
Closest atoms and distances in Å follow each position.
Space group Aea2 (No. 41)
Symmetry-distinct sites (fractional):
Hg 0.0000 0.0000 0.0000 x4  6 O 2.30-2.37
Hg 0.0000 0.0000 0.4933 x4  2 O 2.05
Hg 0.0215 0.2453 0.3041 x8  2 O 2.15-2.17
Hg 0.0470 0.1295 0.6607 x8  2 O 2.16-2.17
Hg 0.0487 0.3796 0.6527 x8  5 O 2.27-2.40
Te 0.2395 0.2513 0.0686 x8  6 O 1.91-1.99
Te 0.2433 0.1158 0.9170 x8  3 O 1.91-2.09
Te 0.2502 0.0006 0.2421 x8  6 O 1.91-1.98
Te 0.2498 0.3629 0.3940 x8  4 O 1.93-2.11
O 0.0000 0.0000 0.2904 x4  2 Te 1.98
O 0.0000 0.0000 0.6946 x4  2 Te 1.97
O 0.0077 0.2775 0.5674 x8  2 Te 1.97-1.99
O 0.0418 0.0979 0.9973 x8  1 Te 1.91
O 0.0431 0.3342 0.3260 x8  1 Te 1.93, 1 Hg 2.15
O 0.0534 0.3428 0.8062 x8  1 Te 1.95, 1 Hg 2.17
O 0.0581 0.0839 0.4911 x8  1 Te 1.95, 1 Hg 2.05
O 0.1856 0.1801 0.5132 x8  2 Te 1.94-2.09
O 0.1929 0.0307 0.8728 x8  2 Te 1.97-2.15
O 0.1929 0.3275 0.1110 x8  1 Te 1.94
O 0.1943 0.4674 0.6184 x8  1 Te 1.91
O 0.2068 0.4261 0.2927 x8  2 Te 1.93-2.07
O 0.2172 0.2775 0.9323 x8  2 Te 1.97-2.11
O 0.2256 0.0781 0.1997 x8  1 Te 1.94, 1 Hg 2.16
O 0.2320 0.2217 0.6981 x8  1 Te 1.91

Entry from Alexandria: a relaxed Cd4Au5 crystal (GGA-PBEsol).

Summary:
Formation enthalpy at 0 K: -1.13 eV/f.u.
Uncorrected energy: -2.838 eV per atom
Spin magnetization: 0.00 μB/atom

a b c (Å): 8.7531 8.7531 4.2415
angles (deg): 90.00 90.00 90.00
Closest atoms and distances in Å follow each position.
Space group I4/mmm (No. 139)
Symmetry-distinct sites (fractional):
Cd 0.0000 0.3250 0.0000 x8  7 Au 2.84-2.92, 5 Cd 3.03-3.06
Au 0.0000 0.0000 0.0000 x2  4 Cd 2.84, 8 Au 2.96
Au 0.1668 0.1668 0.5000 x8  6 Cd 2.92, 6 Au 2.92-2.96

Entry from Alexandria: a relaxed Cr2ReNi crystal (GGA-PBEsol).

Summary:
Formation enthalpy at 0 K: 0.61 eV/f.u.
Uncorrected energy: -9.842 eV per atom
Spin magnetization: 0.00 μB/atom

a b c (Å): 4.9931 8.3080 2.4867
angles (deg): 90.00 111.14 90.00
Closest atoms and distances in Å follow each position.
Space group C2/m (No. 12)
Symmetry-distinct sites (fractional):
Cr 0.2500 0.2500 0.0000 x4  4 Cr 2.49-2.50, 2 Re 2.51, 2 Ni 2.51
Re 0.0000 0.0000 0.5000 x2  2 Re 2.49, 2 Ni 2.50, 4 Cr 2.51
Ni 0.0000 0.5000 0.5000 x2  2 Ni 2.49, 2 Re 2.50, 4 Cr 2.51

Entry from Alexandria: a relaxed Ni3PtBr crystal (GGA-PBEsol).

Summary:
Formation energy from raw total energies: 925 meV/atom
Uncorrected energy: -4.536 eV per atom
Spin magnetization: 0.00 μB/atom

a b c (Å): 4.2184 4.2184 4.2184
angles (deg): 90.00 90.00 90.00
Closest atoms and distances in Å follow each position.
Space group Pm-3m (No. 221)
Symmetry-distinct sites (fractional):
Ni 0.0000 0.0000 0.5000 x3  2 Br 2.11
Pt 0.5000 0.5000 0.5000 x1  12 Ni 2.98
Br 0.0000 0.0000 0.0000 x1  6 Ni 2.11

Entry from Alexandria: a relaxed ZrMo2Cl crystal (GGA-PBEsol).

Summary:
Formation energy from raw total energies: 265 meV/atom
Uncorrected energy: -8.394 eV per atom
Offset from the most stable computed form: 359 meV per atom
Spin magnetization: 0.00 μB/atom

a b c (Å): 5.2301 10.3180 3.0346
angles (deg): 90.00 124.64 90.00
Closest atoms and distances in Å follow each position.
Space group C2/m (No. 12)
Symmetry-distinct sites (fractional):
Zr 0.0000 0.0000 0.0000 x2  4 Cl 2.62-2.65, 4 Mo 2.90
Mo 0.2500 0.2500 0.5000 x4  4 Mo 2.62-2.65, 2 Zr 2.90, 2 Cl 2.90
Cl 0.0000 0.5000 0.0000 x2  4 Zr 2.62-2.65, 4 Mo 2.90

What is the spin magnetization in the second record? 0.00 μB/atom

Which formula does entry 3 have? AlZn2Cl